DFT (PBE) results for crystalline BeP2ClF at its relaxed geometry.

The space group is P4/mmm (No. 123) and the conventional cell measures 4.2549, 4.2549 and 4.3623 Å, with angles of 90.00, 90.00 and 90.00 degrees. The asymmetric unit holds Be at (0.0000, 0.0000, 0.0000), P at (0.0000, 0.5000, 0.0000), Cl at (0.0000, 0.0000, 0.5000) and F at (0.5000, 0.5000, 0.5000).

The calculation puts the theoretical density at 2.64 g/cm³. Its energy is -3.38 eV/atom. The value obtained for the energy relative to the lowest polymorph listed for this composition is 0.000 eV/f.u. The value obtained for the magnetization is 0.00 μB per atom.


DFT (PBE) results for crystalline ZrPt7 at its relaxed geometry.

The space group is I4/mmm (No. 139) and the conventional cell measures 4.0048, 4.0048 and 16.1816 Å, with angles of 90.00, 90.00 and 90.00 degrees. The asymmetric unit holds Zr at (0.0000, 0.0000, 0.0000), Pt at (0.0000, 0.0000, 0.2547), Pt at (0.0000, 0.0000, 0.5000) and Pt at (0.0000, 0.5000, 0.1239).

The calculation puts the theoretical density at 18.64 g/cm³. Its energy is -6.89 eV/atom. The value obtained for the energy relative to the lowest polymorph listed for this composition is 0.000 eV/f.u. The value obtained for the magnetization is 0.00 μB per atom. Its formation energy is -534 meV/atom.


DFT (PBE) results for crystalline TcMoSe2 at its relaxed geometry.

The space group is P4/mmm (No. 123) and the conventional cell measures 3.1342, 3.1342 and 6.2529 Å, with angles of 90.00, 90.00 and 90.00 degrees. The asymmetric unit holds Tc at (0.0000, 0.0000, 0.0000), Mo at (0.0000, 0.0000, 0.5000) and Se at (0.5000, 0.5000, 0.2511).

The calculation puts the theoretical density at 9.51 g/cm³. Its energy is -6.90 eV/atom. The value obtained for the energy relative to the lowest polymorph listed for this composition is 1.310 eV/f.u. The value obtained for the magnetization is 0.00 μB per atom.


DFT (PBE) results for crystalline CuH6N2Cl at its relaxed geometry.

The space group is C2/c (No. 15) and the conventional cell measures 9.0533, 11.0048 and 5.3494 Å, with angles of 90.00, 125.44 and 90.00 degrees. The asymmetric unit holds Cu at (0.0000, 0.0829, 0.2500), H at (0.1832, 0.4953, 0.4293), H at (0.1891, 0.3666, 0.5910), H at (0.1939, 0.3664, 0.2850), N at (0.2436, 0.4104, 0.4904) and Cl at (0.0000, 0.3268, 0.7500).

The calculation puts the theoretical density at 2.04 g/cm³. Its energy is -4.72 eV/atom. The value obtained for the magnetization is 0.00 μB per atom.


DFT (PBE) results for crystalline Cs2U3PdO12 at its relaxed geometry.

The space group is R-3m (No. 166, hexagonal axes) and the conventional cell measures 7.9292, 7.9292 and 18.2213 Å, with angles of 90.00, 90.00 and 120.00 degrees. The asymmetric unit holds Cs at (0.0000, 0.0000, 0.1287), U at (0.0000, 0.5000, 0.0000), Pd at (0.0000, 0.0000, 0.5000), O at (0.0806, 0.5403, 0.3612) and O at (0.0913, 0.5456, 0.1045).

The calculation puts the theoretical density at 6.42 g/cm³. Its energy is -8.06 eV/atom. The value obtained for the magnetization is 0.00 μB per atom.